{
  "formula": "CsTlCd2Bi",
  "functional": "GGA-PBE",
  "state": "optimized geometry",
  "space_group": "Imm2 (44)",
  "formation_energy_ev_per_atom": -0.170,
  "total_energy_ev_per_cell": -9.8,
  "cell": [[-2.5765, 2.6774, 6.4847], [2.5765, -2.6774, 6.4847], [2.5765, 2.6774, -6.4847]],
  "species": ["Cs", "Tl", "Cd", "Cd", "Bi"],
  "fractional_positions": [[0.0000, 0.0000, 0.0000], [0.2371, 0.7371, 0.5000], [0.6206, 0.6206, 0.0000], [0.7480, 0.2480, 0.5000], [0.3846, 0.3846, 0.0000]]
}


{
  "formula": "CsTlCdBi",
  "functional": "GGA-PBE",
  "state": "optimized geometry",
  "space_group": "F-43m (216)",
  "formation_energy_ev_per_atom": -0.053,
  "total_energy_ev_per_cell": -8.2,
  "polymorph_energy_kj_per_mol_atoms": 9.9,
  "cell": [[0.0000, 4.1641, 4.1641], [4.1641, 0.0000, 4.1641], [4.1641, 4.1641, 0.0000]],
  "species": ["Cs", "Tl", "Cd", "Bi"],
  "fractional_positions": [[0.0000, 0.0000, 0.0000], [0.7500, 0.7500, 0.7500], [0.2500, 0.2500, 0.2500], [0.5000, 0.5000, 0.5000]]
}


- What is the formula in the first record?
  CsTlCd2Bi